The following is a GGA-PBE calculation of a relaxed LuCoAg crystal, from the Open Quantum Materials Database.

Cell: 4.3742 4.3742 4.3742 Å, 60.00 60.00 60.00°
Atoms (fractional coordinates):
Lu  0.0000  0.0000  0.0000
Co  0.7500  0.7500  0.7500
Ag  0.5000  0.5000  0.5000

Output
Space group: F-43m (216)
Formation enthalpy at 0 K (eV per atom): 0.148

The following is a GGA-PBE calculation of a relaxed LuCoAg crystal, from the Open Quantum Materials Database.

Cell: 4.4742 4.4742 4.4742 Å, 60.00 60.00 60.00°
Atoms (fractional coordinates):
Lu  0.0000  0.0000  0.0000
Co  0.2500  0.2500  0.2500
Ag  0.7500  0.7500  0.7500

Output
Space group: F-43m (216)
Formation enthalpy at 0 K (eV per atom): 0.573

no.,size of the total moment (μB per atom)
1,0.103
2,0.005